Record 1
Material: NaAlSi
Method: DFT, PBE
State: optimized geometry

Computed properties:
Crystal system: hexagonal
Raw formation energy in eV/atom: 0.003

Cell: 4.3778 4.3778 7.0103 Å, 90.00 90.00 120.00°
Closest atoms and distances in Å follow each position.
Fractional positions:
Na 0.0000 0.0000 0.7539  3 Si 2.86, 3 Al 2.90
Na 0.0000 0.0000 0.2539  3 Si 2.86, 3 Al 2.90
Si 0.3333 0.6667 0.4456  4 Al 2.63-2.77, 3 Na 2.86
Si 0.6667 0.3333 0.9456  4 Al 2.63-2.77, 3 Na 2.86
Al 0.3333 0.6667 0.0505  4 Si 2.63-2.77, 3 Na 2.90
Al 0.6667 0.3333 0.5505  4 Si 2.63-2.77, 3 Na 2.90


Record 2
Material: NaAlSi
Method: DFT, PBE
State: optimized geometry

Computed properties:
Crystal system: tetragonal
Raw formation energy in eV/atom: -0.007

Cell: 4.3164 4.3164 6.9926 Å, 90.00 90.00 90.00°
Closest atoms and distances in Å follow each position.
Fractional positions:
Na 0.0000 0.0000 0.0000  4 Si 3.00, 4 Na 3.05
Na 0.5000 0.5000 0.0000  4 Si 3.00, 4 Na 3.05
Si 0.0000 0.5000 0.2983  4 Al 2.58
Si 0.5000 0.0000 0.7017  4 Al 2.58
Al 0.0000 0.0000 0.5000  4 Si 2.58
Al 0.5000 0.5000 0.5000  4 Si 2.58


Record 3
Material: NaAlSi
Method: DFT, PBE
State: optimized geometry

Computed properties:
Crystal system: triclinic
Raw formation energy in eV/atom: 0.069

Cell: 8.4466 5.9286 5.9040 Å, 105.39 98.53 109.79°
Closest atoms and distances in Å follow each position.
Fractional positions:
Na 0.4223 0.5513 0.8581  3 Si 3.07-3.20, 2 Na 3.18-3.21, 3 Al 3.27-3.34
Na 0.6937 0.7165 0.4566  6 Si 3.10-3.27, 4 Al 3.19-3.46, 1 Na 3.29
Na 0.6559 0.2207 0.8017  5 Si 3.08-3.39, 4 Al 3.11-3.32, 2 Na 3.21-3.29
Na 0.1152 0.7407 0.7740  5 Al 3.02-3.38, 3 Si 3.04-3.37, 1 Na 3.18
Si 0.3017 0.3524 0.2751  1 Si 2.37, 3 Al 2.47-2.57
Si 0.8194 0.8490 0.0221  1 Si 2.51, 3 Al 2.58-2.71
Si 0.3211 0.7783 0.3940  1 Si 2.37, 2 Al 2.43-2.56
Si 0.8101 0.2360 0.3154  3 Al 2.48-2.59, 1 Si 2.51
Al 0.0684 0.1172 0.4505  3 Si 2.53-2.71, 2 Al 2.74
Al 0.9930 0.6153 0.2038  3 Si 2.56-2.63, 2 Al 2.71-2.74
Al 0.4914 0.1121 0.2569  3 Si 2.43-2.48
Al 0.0345 0.2101 0.9175  2 Si 2.57-2.58, 2 Al 2.71-2.74


Record 4
Material: NaAlSi
Method: DFT, PBE
State: optimized geometry

Computed properties:
Crystal system: triclinic
Raw formation energy in eV/atom: 0.031

Cell: 6.6265 4.1488 5.5480 Å, 98.59 112.49 73.36°
Closest atoms and distances in Å follow each position.
Fractional positions:
Na 0.0961 0.1831 0.7784  4 Si 3.04-3.16, 1 Na 3.19, 1 Al 3.27
Na 0.9039 0.8169 0.2216  4 Si 3.04-3.16, 1 Na 3.19, 1 Al 3.27
Si 0.3046 0.1657 0.3726  1 Si 2.52, 3 Al 2.53-2.56
Si 0.6954 0.8343 0.6274  1 Si 2.52, 3 Al 2.53-2.56
Al 0.5441 0.4380 0.7785  3 Si 2.53-2.56, 1 Al 2.68
Al 0.4559 0.5620 0.2215  3 Si 2.53-2.56, 1 Al 2.68


Record 5
Material: NaAlSi
Method: DFT, PBE
State: optimized geometry

Computed properties:
Crystal system: orthorhombic
Raw formation energy in eV/atom: 0.162

Cell: 6.4730 6.4730 4.6693 Å, 90.00 90.00 139.43°
Closest atoms and distances in Å follow each position.
Fractional positions:
Na 0.2661 0.7339 0.7359  3 Si 3.05-3.30, 4 Al 3.06-3.38, 4 Na 3.26
Na 0.7339 0.2661 0.2359  3 Si 3.05-3.30, 4 Al 3.06-3.38, 4 Na 3.26
Si 0.0468 0.9532 0.4172  2 Si 2.60, 4 Al 2.62-2.76
Si 0.9532 0.0468 0.9172  2 Si 2.60, 4 Al 2.62-2.76
Al 0.4419 0.5581 0.2059  4 Si 2.62-2.76, 2 Al 2.73
Al 0.5581 0.4419 0.7059  4 Si 2.62-2.76, 2 Al 2.73


Record 6
Material: NaAl2Si2
Method: DFT, PBE
State: optimized geometry

Computed properties:
Crystal system: tetragonal
Raw formation energy in eV/atom: 0.152

Cell: 7.7338 7.7338 2.9488 Å, 90.00 90.00 90.00°
Closest atoms and distances in Å follow each position.
Fractional positions:
Na 0.0000 0.0000 0.0000  2 Na 2.95, 4 Al 3.03, 8 Si 3.26
Na 0.5000 0.5000 0.0000  2 Na 2.95, 4 Al 3.03, 8 Si 3.26
Si 0.1610 0.6610 0.5000  6 Al 2.71, 2 Si 2.95
Si 0.6610 0.8390 0.5000  6 Al 2.71, 2 Si 2.95
Si 0.8390 0.3390 0.5000  6 Al 2.71, 2 Si 2.95
Si 0.3390 0.1610 0.5000  6 Al 2.71, 2 Si 2.95
Al 0.3691 0.8691 0.0000  6 Si 2.71, 3 Al 2.86-2.95, 2 Na 3.03
Al 0.8691 0.6309 0.0000  6 Si 2.71, 3 Al 2.86-2.95, 2 Na 3.03
Al 0.6309 0.1309 0.0000  6 Si 2.71, 3 Al 2.86-2.95, 2 Na 3.03
Al 0.1309 0.3691 0.0000  6 Si 2.71, 3 Al 2.86-2.95, 2 Na 3.03


Record 7
Material: NaAl2Si2
Method: DFT, PBE
State: optimized geometry

Computed properties:
Crystal system: tetragonal
Raw formation energy in eV/atom: -0.023

Cell: 4.3761 4.3761 5.9410 Å, 68.39 68.39 90.00°
Closest atoms and distances in Å follow each position.
Fractional positions:
Na 0.0000 0.0000 0.0000  8 Si 3.32, 8 Al 3.35
Si 0.3813 0.3813 0.2375  1 Si 2.41, 4 Al 2.56
Si 0.6187 0.6187 0.7625  1 Si 2.41, 4 Al 2.56
Al 0.7500 0.2500 0.5000  4 Si 2.56
Al 0.2500 0.7500 0.5000  4 Si 2.56


Record 8
Material: NaAlSi
Method: DFT, PBE
State: optimized geometry

Computed properties:
Crystal system: monoclinic
Raw formation energy in eV/atom: 0.189

Cell: 2.9514 7.6246 5.4818 Å, 94.48 90.02 89.98°
Closest atoms and distances in Å follow each position.
Fractional positions:
Na 0.8366 0.2186 0.5962  2 Na 2.95, 4 Al 3.18-3.22
Na 0.8365 0.9488 0.0608  2 Na 2.95, 3 Al 3.02-3.15, 4 Si 3.16-3.18
Si 0.3351 0.8115 0.5687  1 Si 2.42, 2 Al 2.61
Si 0.3352 0.5974 0.8727  1 Si 2.42, 3 Al 2.58-2.70
Al 0.8351 0.5999 0.2856  4 Si 2.61-2.70, 2 Al 2.75
Al 0.3356 0.3149 0.1027  1 Si 2.58, 2 Al 2.75


Record 9
Material: NaAlSi
Method: DFT, PBE
State: optimized geometry

Computed properties:
Crystal system: orthorhombic
Raw formation energy in eV/atom: 0.052

Cell: 4.2188 5.4993 6.6579 Å, 90.00 90.00 90.00°
Closest atoms and distances in Å follow each position.
Fractional positions:
Na 0.0000 0.8916 0.8811  4 Si 3.00-3.30, 2 Al 3.28
Na 0.5000 0.1084 0.3811  4 Si 3.00-3.30, 2 Al 3.28
Si 0.0000 0.3604 0.6519  3 Al 2.43-2.45
Si 0.5000 0.6396 0.1519  3 Al 2.43-2.45
Al 0.0000 0.5593 0.3260  3 Si 2.43-2.45
Al 0.5000 0.4407 0.8260  3 Si 2.43-2.45


Record 10
Material: NaAlSi
Method: DFT, PBE
State: optimized geometry

Computed properties:
Crystal system: orthorhombic
Raw formation energy in eV/atom: 0.053

Cell: 7.3181 4.1937 4.6741 Å, 90.00 90.00 90.00°
Closest atoms and distances in Å follow each position.
Fractional positions:
Na 0.5000 0.5000 0.5000  8 Al 3.39, 4 Si 3.42
Na 0.0000 0.0000 0.5000  4 Al 3.34, 8 Si 3.35
Si 0.1584 0.5000 0.0000  1 Si 2.32, 2 Al 2.43
Si 0.8416 0.5000 0.0000  1 Si 2.32, 2 Al 2.43
Al 0.6746 0.0000 0.0000  2 Si 2.43, 1 Al 2.56
Al 0.3254 0.0000 0.0000  2 Si 2.43, 1 Al 2.56


Record 11
Material: NaAlSi
Method: DFT, PBE
State: optimized geometry

Computed properties:
Crystal system: triclinic
Raw formation energy in eV/atom: 0.109

Cell: 7.4706 5.4054 3.5371 Å, 90.12 103.49 110.28°
Closest atoms and distances in Å follow each position.
Fractional positions:
Na 0.9810 0.5889 0.4815  2 Al 3.05-3.06, 2 Si 3.17
Na 0.1758 0.1833 0.0722  4 Si 2.99-3.35, 2 Al 3.27-3.28
Si 0.5386 0.0986 0.7553  2 Si 2.47-2.48, 3 Al 2.60-2.65
Si 0.3687 0.7780 0.1711  2 Si 2.47-2.48, 3 Al 2.68-2.73
Al 0.7702 0.9886 0.3689  3 Si 2.65-2.73, 2 Al 2.78
Al 0.5631 0.5899 0.7664  4 Si 2.60-2.82, 2 Al 2.78


Record 12
Material: Na2AlSi
Method: DFT, PBE
State: optimized geometry

Computed properties:
Crystal system: tetragonal
Raw formation energy in eV/atom: 0.322

Cell: 11.4665 11.4665 8.4601 Å, 47.34 47.34 90.00°
Closest atoms and distances in Å follow each position.
Fractional positions:
Na 0.8727 0.1250 0.2500  2 Si 2.93
Na 0.8773 0.6250 0.2500  2 Si 2.93
Na 0.3750 0.1273 0.7500  2 Si 2.93
Na 0.8750 0.1227 0.7500  2 Si 2.93
Si 0.0000 0.0000 0.0000  2 Al 2.42
Si 0.7500 0.2500 0.5000  2 Al 2.42
Al 0.5000 0.5000 0.0000  2 Si 2.42
Al 0.2500 0.7500 0.5000  2 Si 2.42


In order of appearance, Fermi-level density of states = 0.012 0.157 0.172 0.224 0.277 0.485 0.276 0.531 0.000 0.225 0.369 0.619 states/eV per atom.
In order of appearance, spin magnetization = 0.00 0.00 0.00 0.00 0.00 0.00 0.00 0.00 0.00 0.00 0.00 0.00 μB/atom.